The following is a DFT calculation (GGA+U) of a geometry-optimized RbLiCoF4 structure.

Lattice parameters (Å, degrees): 5.310 5.707 7.510 90.00 102.15 90.00
Fractional positions:
Rb  0.203  0.250  0.107
Rb  0.797  0.750  0.893
Li  0.138  0.750  0.521
Li  0.862  0.250  0.479
Co  0.370  0.250  0.677
Co  0.630  0.750  0.323
F  0.102  0.014  0.679
F  0.102  0.486  0.679
F  0.362  0.750  0.107
F  0.496  0.750  0.541
F  0.504  0.250  0.459
F  0.638  0.250  0.893
F  0.898  0.514  0.321
F  0.898  0.986  0.321

Properties
M_tot   0.43 μB/atom
Raw total energy   -4.68 eV/atom